A plane-wave DFT calculation with GGA-PBE was carried out for crystalline La2PrAg2Hg3Pd at its relaxed geometry.

- space-group type = No. 38
- calculated total energy (eV per cell) = -30.59
- DFT formation energy (eV/f.u.) = -4.3
- total moment (μB/cell) = 0.02

Cell: 4.009 8.035 8.035 Å, 119.76 90.00 90.00°
Fractional coordinates of all 9 atoms:
La (0.000, 0.194, 0.806)
La (0.000, 0.806, 0.194)
Pr (0.000, 0.580, 0.580)
Ag (0.500, 0.526, 0.859)
Ag (0.500, 0.859, 0.526)
Hg (0.500, 0.195, 0.457)
Hg (0.500, 0.457, 0.195)
Hg (0.500, 0.926, 0.926)
Pd (0.000, 0.190, 0.190)

A plane-wave DFT calculation with GGA-PBE was carried out for crystalline Hf2Si2Mo at its relaxed geometry.

- space-group type = No. 139
- calculated total energy (eV per cell) = -41.78
- total moment (μB/cell) = 0.01

Cell: 7.534 7.534 7.534 Å, 153.12 153.12 38.38°
Fractional coordinates of all 5 atoms:
Hf (0.101, 0.101, 0.000)
Hf (0.899, 0.899, 0.000)
Si (0.250, 0.750, 0.500)
Si (0.750, 0.250, 0.500)
Mo (0.500, 0.500, 0.000)